Entry 1:
This record from Alexandria via LeMat-Bulk describes a geometry-optimized PbWCl2 structure. The functional is PBE.

Cell lengths 4.486, 4.486, 4.446 Å; angles 90.00, 90.00, 90.00 degrees
Space group P4/mmm (No. 123)
Symmetry-distinct sites (fractional):
Pb  0.000  0.000  0.000 x1
W  0.500  0.500  0.000 x1
Cl  0.000  0.500  0.500 x2

Results
VASP energy in eV/atom: -4.20
Relative energy among the computed polymorphs in meV per atom: 897
Calculated volume in Å³ per atom: 22.36
Total magnetization in μB per cell: 3.0
Formation energy (no corrections) in meV per atom: 888

---

Entry 2:
This record from Alexandria via LeMat-Bulk describes a geometry-optimized Pb4WCl structure. The functional is PBE.

Cell lengths 8.957, 8.957, 8.957 Å; angles 90.00, 90.00, 90.00 degrees
Space group F-43m (No. 216)
Symmetry-distinct sites (fractional):
Pb  0.124  0.124  0.124 x16
W  0.250  0.250  0.750 x4
Cl  0.000  0.000  0.500 x4

Results
VASP energy in eV/atom: -4.01
Calculated volume in Å³ per atom: 29.94
Total magnetization in μB per cell: 14.0
Formation energy (no corrections) in meV per atom: 934

---

Entry 3:
This record from Alexandria via LeMat-Bulk describes a geometry-optimized PbWCl2 structure. The functional is PBE.

Cell lengths 3.007, 4.493, 15.914 Å; angles 90.00, 90.00, 90.00 degrees
Space group Imm2 (No. 44)
Symmetry-distinct sites (fractional):
Pb  0.000  0.000  0.000 x2
W  0.000  0.500  0.668 x2
Cl  0.000  0.000  0.288 x2
Cl  0.000  0.500  0.147 x2

Results
VASP energy in eV/atom: -4.80
Relative energy among the computed polymorphs in meV per atom: 301
Calculated volume in Å³ per atom: 26.87
Total magnetization in μB per cell: 0.0
Formation energy (no corrections) in meV per atom: 292

---

Entry 4:
This record from Alexandria via LeMat-Bulk describes a geometry-optimized PbWCl structure. The functional is PBE.

Cell lengths 3.1611, 3.1611, 8.1573 Å; angles 90.00, 90.00, 120.00 degrees
Space group P3m1 (No. 156)
Symmetry-distinct sites (fractional):
Pb  0.0000  0.0000  0.0000 x1
W  0.6667  0.3333  0.3065 x1
Cl  0.3333  0.6667  0.5115 x1

Results
VASP energy in eV/atom: -5.86
Relative energy among the computed polymorphs in meV per atom: 0
Calculated volume in Å³ per atom: 23.53
Total magnetization in μB per cell: 0.0
Formation energy (no corrections) in meV per atom: 308

---

Entry 5:
This record from Alexandria via LeMat-Bulk describes a geometry-optimized PbWCl2 structure. The functional is PBE.

Cell lengths 4.467, 4.467, 9.002 Å; angles 90.00, 90.00, 90.00 degrees
Space group I4/mmm (No. 139)
Symmetry-distinct sites (fractional):
Pb  0.000  0.000  0.000 x2
W  0.000  0.000  0.500 x2
Cl  0.000  0.500  0.250 x4

Results
VASP energy in eV/atom: -4.15
Relative energy among the computed polymorphs in meV per atom: 946
Calculated volume in Å³ per atom: 22.45
Total magnetization in μB per cell: 5.9
Formation energy (no corrections) in meV per atom: 937

---

Entry 6:
This record from Alexandria via LeMat-Bulk describes a geometry-optimized PbWCl2 structure. The functional is PBE.

Cell lengths 3.3533, 3.3533, 27.2934 Å; angles 90.00, 90.00, 120.00 degrees
Space group R3m (No. 160, hexagonal axes)
Symmetry-distinct sites (fractional):
Pb  0.0000  0.0000  0.0000 x3
W  0.0000  0.0000  0.2439 x3
Cl  0.0000  0.0000  0.5232 x3
Cl  0.0000  0.0000  0.7452 x3

Results
VASP energy in eV/atom: -4.92
Relative energy among the computed polymorphs in meV per atom: 177
Calculated volume in Å³ per atom: 22.15
Total magnetization in μB per cell: 0.0
Formation energy (no corrections) in meV per atom: 168

---

Entry 7:
This record from Alexandria via LeMat-Bulk describes a geometry-optimized PbW3Cl structure. The functional is PBE.

Cell lengths 5.108, 5.108, 5.108 Å; angles 90.00, 90.00, 90.00 degrees
Space group Pm-3m (No. 221)
Symmetry-distinct sites (fractional):
Pb  0.000  0.000  0.000 x1
W  0.000  0.000  0.500 x3
Cl  0.500  0.500  0.500 x1

Results
VASP energy in eV/atom: -5.41
Relative energy among the computed polymorphs in meV per atom: 1755
Calculated volume in Å³ per atom: 26.65
Total magnetization in μB per cell: 0.0
Formation energy (no corrections) in meV per atom: 3470

---

Entry 8:
This record from Alexandria via LeMat-Bulk describes a geometry-optimized YPbCl2 structure. The functional is PBE.

Cell lengths 12.018, 3.519, 6.126 Å; angles 90.00, 120.58, 90.00 degrees
Space group C2/m (No. 12)
Symmetry-distinct sites (fractional):
Y  0.000  0.000  0.000 x2
Pb  0.000  0.500  0.500 x2
Cl  0.201  0.500  0.201 x4

Results
VASP energy in eV/atom: -4.69
Relative energy among the computed polymorphs in meV per atom: 63
Calculated volume in Å³ per atom: 27.88
Total magnetization in μB per cell: 0.0
Formation energy (no corrections) in meV per atom: -1220

---

Entry 9:
This record from Alexandria via LeMat-Bulk describes a geometry-optimized YPbCl2 structure. The functional is PBE.

Cell lengths 6.554, 9.164, 3.404 Å; angles 90.00, 90.00, 90.00 degrees
Space group Cmmm (No. 65)
Symmetry-distinct sites (fractional):
Y  0.000  0.000  0.000 x2
Pb  0.000  0.500  0.000 x2
Cl  0.250  0.250  0.500 x4

Results
VASP energy in eV/atom: -4.25
Relative energy among the computed polymorphs in meV per atom: 496
Calculated volume in Å³ per atom: 25.56
Total magnetization in μB per cell: 0.0
Formation energy (no corrections) in meV per atom: -787

---

Entry 10:
This record from Alexandria via LeMat-Bulk describes a geometry-optimized YPbCl5 structure. The functional is PBE.

Cell lengths 10.242, 10.270, 10.366 Å; angles 90.00, 116.35, 90.00 degrees
Space group C2/c (No. 15)
Symmetry-distinct sites (fractional):
Y  0.250  0.250  0.000 x4
Pb  0.000  0.087  0.250 x4
Cl  0.000  0.232  0.750 x4
Cl  0.099  0.293  0.145 x8
Cl  0.222  0.002  0.527 x8

Results
VASP energy in eV/atom: -4.52
Calculated volume in Å³ per atom: 34.90
Total magnetization in μB per cell: 0.0
Formation energy (no corrections) in meV per atom: -1746

---

Entry 11:
This record from Alexandria via LeMat-Bulk describes a geometry-optimized YPb2Cl structure. The functional is PBE.

Cell lengths 7.671, 7.671, 7.671 Å; angles 90.00, 90.00, 90.00 degrees
Space group F-43m (No. 216)
Symmetry-distinct sites (fractional):
Y  0.000  0.000  0.000 x4
Pb  0.000  0.000  0.500 x4
Pb  0.250  0.250  0.750 x4
Cl  0.250  0.250  0.250 x4

Results
VASP energy in eV/atom: -4.42
Relative energy among the computed polymorphs in meV per atom: 208
Calculated volume in Å³ per atom: 28.22
Total magnetization in μB per cell: 0.0
Formation energy (no corrections) in meV per atom: -487

---

Entry 12:
This record from Alexandria via LeMat-Bulk describes a geometry-optimized YPb2Cl structure. The functional is PBE.

Cell lengths 3.854, 6.051, 10.653 Å; angles 90.00, 90.00, 90.00 degrees
Space group Cmm2 (No. 35)
Symmetry-distinct sites (fractional):
Y  0.000  0.000  0.000 x2
Pb  0.000  0.000  0.517 x2
Pb  0.000  0.500  0.760 x2
Cl  0.000  0.500  0.179 x2

Results
VASP energy in eV/atom: -4.59
Relative energy among the computed polymorphs in meV per atom: 35
Calculated volume in Å³ per atom: 31.05
Total magnetization in μB per cell: 0.0
Formation energy (no corrections) in meV per atom: -660

---

calculated volume of number 6 (PbWCl2)?
22.15 Å³ per atom